The following is a DFT calculation (GGA-PBE) of a relaxed structure of KHfO2.

The structure in CIF format:
```
data_KHfO2
_chemical_formula_sum 'K1 Hf1 O2'
_symmetry_space_group_name_H-M 'P 1'
_symmetry_Int_Tables_number 1
_cell_length_a 4.086
_cell_length_b 4.086
_cell_length_c 4.086
_cell_angle_alpha 60.00
_cell_angle_beta 60.00
_cell_angle_gamma 60.00
loop_
_symmetry_equiv_pos_as_xyz
'x,y,z'
loop_
_atom_site_label
_atom_site_type_symbol
_atom_site_fract_x
_atom_site_fract_y
_atom_site_fract_z
O1 O 0.250 0.250 0.250
O2 O 0.750 0.750 0.750
K1 K 0.000 0.000 0.000
Hf1 Hf 0.500 0.500 0.500
```

Computed properties:
E_tot = -6.50 eV/atom
Formation energy (no corrections) = -1.254 eV/atom